Record 1
Here is Nb2Te6Ir after structural relaxation from the Alexandria database. Energies are from GGA-PBE.

Spin magnetization (μB per cell): 0.00
Space-group type: C2/m, No. 12
Calculated total energy (eV/f.u.): -51.02
Density of states at the Fermi level (states/eV/atom): 0.61

Unit cell a=3.6367 b=9.1391 c=7.8840 alpha=104.04 beta=103.33 gamma=90.00
Positions (direct):
Te1 0.6775 0.1313 0.3550
Te2 0.6294 0.5723 0.2588
Ir1 0.5000 0.0000 0.0000
Te3 0.9986 0.2114 0.9973
Nb1 0.8154 0.6201 0.6308
Te4 0.3225 0.8687 0.6450
Te5 0.0014 0.7886 0.0027
Nb2 0.1846 0.3799 0.3692
Te6 0.3706 0.4277 0.7412

Record 2
Here is MgScAl after structural relaxation from the Alexandria database. Energies are from GGA-PBE.

Calculated formation energy (kJ per mole of atoms): -23.05
Spin magnetization (μB per cell): 0.00
Space-group type: P2/m, No. 10
Calculated total energy (eV/f.u.): -12.39
Density of states at the Fermi level (states/eV/atom): 0.72

Unit cell a=7.0701 b=4.3607 c=4.1713 alpha=90.00 beta=72.70 gamma=90.00
Positions (direct):
Mg1 0.7345 0.5121 0.1490
Sc1 0.4015 0.5117 0.8154
Al1 0.0910 0.0117 0.9714
Al2 0.3778 0.0117 0.3270
Sc2 0.0672 0.5117 0.4829
Mg2 0.7345 0.0120 0.6489

Record 3
Here is FeMo4Pt after structural relaxation from the Alexandria database. Energies are from GGA-PBE.

Calculated formation energy (kJ per mole of atoms): 32.98
Spin magnetization (μB per cell): 2.15
Space-group type: F-43m, No. 216
Calculated total energy (eV/f.u.): -55.78
Density of states at the Fermi level (states/eV/atom): 1.19

Unit cell a=5.1479 b=5.1479 c=5.1479 alpha=60.00 beta=60.00 gamma=60.00
Positions (direct):
Mo1 0.8779 0.3740 0.3740
Pt1 0.7500 0.7500 0.7500
Fe1 0.0000 0.0000 0.0000
Mo2 0.3740 0.3740 0.3740
Mo3 0.3740 0.8779 0.3740
Mo4 0.3740 0.3740 0.8779

Record 4
Here is AcSb2Ir2 after structural relaxation from the Alexandria database. Energies are from GGA-PBE.

Spin magnetization (μB per cell): 0.73
Space-group type: P4/nmm, No. 129
Calculated total energy (eV/f.u.): -33.27
Density of states at the Fermi level (states/eV/atom): 0.74

Unit cell a=4.6550 b=4.6550 c=10.6029 alpha=90.00 beta=90.00 gamma=90.00
Positions (direct):
Sb1 0.5000 0.5000 0.5000
Sb2 0.0000 0.0000 0.5000
Ir1 0.5000 0.5000 0.0000
Ac1 0.5000 0.0000 0.2455
Ir2 0.0000 0.0000 0.0000
Ac2 0.0000 0.5000 0.7545
Ir3 0.5000 0.0000 0.6213
Ir4 0.0000 0.5000 0.3787
Sb3 0.5000 0.0000 0.8695
Sb4 0.0000 0.5000 0.1305